A plane-wave DFT calculation with PBE-GGA was carried out for a relaxed Na3BeAs crystal.

Properties
The density comes out at 1.5 Mg/m³. The formation energy comes out at 386 meV/atom. The total moment is 0.00 μB per cell.

abc: 5.5464 5.5464 5.5464
angles: 90.00 90.00 90.00
Atoms (fractional coordinates):
Be1 0.5000 0.5000 0.5000
Na1 0.5000 0.0000 0.0000
As1 0.0000 0.0000 0.0000
Na2 0.0000 0.5000 0.0000
Na3 0.0000 0.0000 0.5000

A plane-wave DFT calculation with PBE-GGA was carried out for a relaxed Na3Be2As4 crystal.

Properties
The density comes out at 3.6 Mg/m³. The formation energy comes out at -302 meV/atom. The total moment is 0.00 μB per cell.

abc: 3.7095 6.6440 7.8014
angles: 105.97 90.00 106.21
Atoms (fractional coordinates):
As1 0.2949 0.5897 0.9332
Be1 0.7258 0.4516 0.3852
Na1 0.4055 0.8110 0.3187
As2 0.1184 0.2368 0.3829
As3 0.8816 0.7632 0.6171
Na2 0.5945 0.1890 0.6813
As4 0.7051 0.4103 0.0668
Na3 0.0000 0.0000 0.0000
Be2 0.2742 0.5484 0.6148

A plane-wave DFT calculation with PBE-GGA was carried out for a relaxed NaBeAs2 crystal.

Properties
The density comes out at 3.5 Mg/m³. The formation energy comes out at -103 meV/atom. The total moment is 0.00 μB per cell.

abc: 4.9115 4.9115 8.0342
angles: 72.20 72.20 90.00
Atoms (fractional coordinates):
As1 0.3750 0.5079 0.7500
As2 0.8750 0.7421 0.7500
As3 0.2579 0.6250 0.2500
Na1 0.0000 0.0000 0.0000
Na2 0.7500 0.2500 0.5000
As4 0.4921 0.1250 0.2500
Be1 0.5000 0.5000 0.0000
Be2 0.2500 0.7500 0.5000

A plane-wave DFT calculation with PBE-GGA was carried out for a relaxed NaBeNiAs2 crystal.

Properties
The density comes out at 4.8 Mg/m³. The formation energy comes out at -267 meV/atom. The total moment is 0.00 μB per cell.

abc: 3.9446 3.9446 6.0104
angles: 109.16 109.16 90.00
Atoms (fractional coordinates):
Na1 0.0000 0.0000 0.0000
Be1 0.7500 0.2500 0.5000
As1 0.3695 0.3695 0.7389
Ni1 0.2500 0.7500 0.5000
As2 0.6305 0.6305 0.2611

A plane-wave DFT calculation with PBE-GGA was carried out for a relaxed Na2Be2AsO6 crystal.

Properties
The density comes out at 3.6 Mg/m³. The total moment is 1.07 μB per cell. Its uncorrected formation energy is -17.9 eV/f.u.

abc: 4.7575 4.7575 5.4776
angles: 90.00 90.00 120.00
Atoms (fractional coordinates):
O1 0.3318 0.3317 0.8214
O2 0.9999 0.6682 0.8214
Be1 0.3333 0.6667 0.0002
O3 0.3317 0.9999 0.1786
O4 0.0001 0.3318 0.1786
O5 0.6682 0.6683 0.1786
Na1 0.6667 0.3333 0.4999
O6 0.6683 0.0001 0.8214
Na2 0.3333 0.6667 0.5001
As1 0.0000 0.0000 0.0000
Be2 0.6667 0.3333 0.9998

A plane-wave DFT calculation with PBE-GGA was carried out for a relaxed NaBeAsO4 crystal.

Properties
The density comes out at 3.2 Mg/m³. The total moment is 0.00 μB per cell. Its uncorrected formation energy is -13.3 eV/f.u.

abc: 4.9562 4.9562 5.0187
angles: 119.59 119.59 90.00
Atoms (fractional coordinates):
O1 0.5076 0.6219 0.7365
O2 0.2288 0.1146 0.7365
As1 0.5000 0.5000 0.0000
O3 0.8854 0.4924 0.2635
O4 0.3781 0.7712 0.2635
Na1 0.0000 0.0000 0.0000
Be1 0.2500 0.7500 0.5000

A plane-wave DFT calculation with PBE-GGA was carried out for a relaxed NaBeAs2O6 crystal.

Properties
The density comes out at 3.3 Mg/m³. The total moment is 0.00 μB per cell. Its uncorrected formation energy is -15.4 eV/f.u.

abc: 6.1189 7.3648 7.3648
angles: 87.95 67.01 67.01
Atoms (fractional coordinates):
Be1 0.7500 0.8107 0.1893
O1 0.7060 0.7917 0.9835
O2 0.4680 0.8405 0.3705
Na1 0.7500 0.1275 0.8725
O3 0.7336 0.6579 0.6253
As1 0.5853 0.2214 0.3914
O4 0.2336 0.6253 0.6579
Na2 0.2500 0.8725 0.1275
O5 0.7664 0.3747 0.3421
O6 0.2940 0.2083 0.0165
O7 0.2664 0.3421 0.3747
As2 0.4147 0.7786 0.6086
O8 0.7940 0.0165 0.2083
Be2 0.2500 0.1893 0.8107
O9 0.5320 0.1595 0.6295
O10 0.9680 0.3705 0.8405
As3 0.9147 0.6086 0.7786
As4 0.0853 0.3914 0.2214
O11 0.2060 0.9835 0.7917
O12 0.0320 0.6295 0.1595

A plane-wave DFT calculation with PBE-GGA was carried out for a relaxed Na2BeAsO4 crystal.

Properties
The density comes out at 2.9 Mg/m³. The total moment is 0.00 μB per cell. Its uncorrected formation energy is -12.1 eV/f.u.

abc: 4.8310 6.0893 8.5909
angles: 83.60 73.67 66.63
Atoms (fractional coordinates):
Na1 0.9285 0.5000 0.1431
Na2 0.8215 0.0000 0.3569
Na3 0.5715 0.5000 0.8569
Na4 0.1785 0.0000 0.6431
As1 0.5000 0.0000 0.0000
As2 0.2500 0.5000 0.5000
Be1 0.0000 0.0000 0.0000
O1 0.1063 0.3221 0.4038
Be2 0.7500 0.5000 0.5000
O2 0.8322 0.6779 0.5962
O3 0.4900 0.6779 0.4038
O4 0.5716 0.3221 0.5962
O5 0.9178 0.8221 0.9038
O6 0.2600 0.8221 0.0962
O7 0.6437 0.1779 0.0962
O8 0.1784 0.1779 0.9038

A plane-wave DFT calculation with PBE-GGA was carried out for a relaxed NaBe2AsP crystal.

Properties
The density comes out at 2.9 Mg/m³. The formation energy comes out at -305 meV/atom. The total moment is 0.00 μB per cell.

abc: 3.3625 7.2662 7.2325
angles: 104.65 90.00 90.00
Atoms (fractional coordinates):
As1 0.7500 0.7104 0.4271
P1 0.2500 0.3046 0.0739
Be1 0.7500 0.5076 0.1209
Na1 0.7500 0.0430 0.7790
Be2 0.7500 0.5224 0.6367
As2 0.2500 0.2896 0.5729
P2 0.7500 0.6954 0.9261
Na2 0.2500 0.9570 0.2210
Be3 0.2500 0.4776 0.3633
Be4 0.2500 0.4924 0.8791

A plane-wave DFT calculation with PBE-GGA was carried out for a relaxed NaBeAsPd crystal.

Properties
The density comes out at 4.7 Mg/m³. The formation energy comes out at -117 meV/atom. The total moment is 0.00 μB per cell.

abc: 3.6369 3.6369 11.4883
angles: 90.00 90.00 90.00
Atoms (fractional coordinates):
Pd1 0.7500 0.2500 0.5000
Pd2 0.2500 0.7500 0.5000
Be1 0.2500 0.7500 0.0000
Be2 0.7500 0.2500 0.0000
As1 0.2500 0.2500 0.1257
Na1 0.7500 0.7500 0.2764
As2 0.7500 0.7500 0.8743
Na2 0.2500 0.2500 0.7236

A plane-wave DFT calculation with PBE-GGA was carried out for a relaxed Rb2NaBeAs2 crystal.

Properties
The density comes out at 3.4 Mg/m³. The formation energy comes out at -280 meV/atom. The total moment is 0.01 μB per cell.

abc: 6.9792 6.3879 9.0249
angles: 110.73 112.75 90.00
Atoms (fractional coordinates):
Be1 0.5000 0.2500 0.0000
Be2 0.5000 0.7500 0.0000
Rb1 0.5817 0.8304 0.6608
Rb2 0.0790 0.3304 0.6608
Na1 0.0000 0.7500 0.0000
As1 0.3925 0.5792 0.1584
As2 0.7659 0.0792 0.1584
Na2 0.0000 0.2500 0.0000
As3 0.2341 0.9208 0.8416
As4 0.6075 0.4208 0.8416
Rb3 0.9210 0.6696 0.3392
Rb4 0.4183 0.1696 0.3392

A plane-wave DFT calculation with PBE-GGA was carried out for a relaxed NaBe2AsS4 crystal.

Properties
The density comes out at 2.2 Mg/m³. The total moment is 0.00 μB per cell. Its uncorrected formation energy is -3.3 eV/f.u.

abc: 6.0934 6.3437 6.3437
angles: 87.37 61.30 61.30
Atoms (fractional coordinates):
S1 0.0766 0.8439 0.5345
Be1 0.5000 0.3444 0.6556
S2 0.5450 0.5345 0.8439
S3 0.9234 0.4655 0.1561
Na1 0.0000 0.0000 0.0000
As1 0.0000 0.5000 0.5000
Be2 0.5000 0.6556 0.3444
S4 0.4550 0.1561 0.4655